VASP calculation (GGA-PBE) on crystalline KSrNb at its relaxed geometry.

The structure in POSCAR format:
```
KSrNb
1.0
-16.408 11.159 -5.818
-10.112 3.359 -0.664
7.275 -4.574 6.335
Sr Nb K
2 2 2
Direct
0.283 0.735 0.265
0.785 0.007 0.993
0.286 0.357 0.643
0.784 0.771 0.229
0.779 0.410 0.590
0.286 0.111 0.889
```

Output
- ΔH_f (0 K) (eV per formula unit) = 2.17
- V (Å³/atom) = 39.12
- energy above the most stable polymorph in this dataset (meV/atom) = 377.0